No. 1
RbRe3Tc | PBE-GGA | relaxed

Values from the calculation:
* energy of formation from the pure elements: 4.206 eV per atom

Lattice parameters (Å, degrees): 4.5777 4.5777 4.5777 90.00 90.00 90.00
Positions (direct):
Rb 0.0000 0.0000 0.0000
Re 0.0000 0.0000 0.5000
Re 0.0000 0.5000 0.0000
Re 0.5000 0.0000 0.0000
Tc 0.5000 0.5000 0.5000

No. 2
Rb2Re2Tc | PBE-GGA | relaxed

Values from the calculation:
* energy of formation from the pure elements: 2.812 eV per atom

Lattice parameters (Å, degrees): 9.9244 9.9244 2.6200 90.00 90.00 90.00
Positions (direct):
Rb 0.1116 0.3884 0.0000
Rb 0.3884 0.8884 0.0000
Rb 0.6116 0.1116 0.0000
Rb 0.8884 0.6116 0.0000
Re 0.1910 0.6910 0.5000
Re 0.3090 0.1910 0.5000
Re 0.6910 0.8090 0.5000
Re 0.8090 0.3090 0.5000
Tc 0.0000 0.0000 0.0000
Tc 0.5000 0.5000 0.0000

| no. | DOS(E_F) (states/eV/cell) | total magnetic moment (Bohr magnetons per cell) |
| --- | --- | --- |
| 1 | 8.15 | 0.0 |
| 2 | 11.35 | 8.3 |